Record 1
Entry from the Alexandria database: a relaxed Rb3Ho2PbO6 crystal (PBE). Values from VASP.

Calculated values
The space group is C2/m (12). For the calculated density, the calculation gives 6888 kg/m3. The uncorrected formation energy comes out at -25.8 eV per formula unit.

Geometry as Quantum ESPRESSO input:
```
&SYSTEM
  ibrav = 0, nat = 12, ntyp = 4
/
ATOMIC_SPECIES
O 16.00 O.upf
Rb 85.47 Rb.upf
Ho 164.93 Ho.upf
Pb 207.20 Pb.upf
CELL_PARAMETERS angstrom
6.137 -0.002 0.001
-3.068 5.315 0.001
-1.022 -1.769 6.573
ATOMIC_POSITIONS crystal
O 0.588 0.940 0.818
Rb 0.836 0.164 0.500
Rb 0.500 0.500 0.500
Ho 0.333 0.667 0.000
O 0.412 0.060 0.182
Pb 0.000 0.000 0.000
O 0.291 0.291 0.819
O 0.709 0.709 0.181
O 0.940 0.588 0.818
Ho 0.667 0.333 0.000
Rb 0.164 0.836 0.500
O 0.060 0.412 0.182
```

Record 2
Entry from the Alexandria database: a relaxed Rb2HoPbO4 crystal (PBE). Values from VASP.

Calculated values
The space group is C2 (5). For the calculated density, the calculation gives 5460 kg/m3. The uncorrected formation energy comes out at -14.7 eV per formula unit.

Geometry as Quantum ESPRESSO input:
```
&SYSTEM
  ibrav = 0, nat = 8, ntyp = 4
/
ATOMIC_SPECIES
Rb 85.47 Rb.upf
Pb 207.20 Pb.upf
O 16.00 O.upf
Ho 164.93 Ho.upf
CELL_PARAMETERS angstrom
6.297 0.005 -0.003
0.003 6.299 -0.003
-3.148 -3.149 4.658
ATOMIC_POSITIONS crystal
Rb 0.486 0.986 0.972
Pb 0.736 0.736 0.472
Rb 0.236 0.236 0.472
O 0.706 0.604 0.726
O 0.867 0.451 0.217
O 0.350 0.766 0.217
O 0.021 0.122 0.726
Ho 0.986 0.486 0.972
```

Record 3
Entry from the Alexandria database: a relaxed HoRhPb2O6 crystal (PBE). Values from VASP.

Calculated values
The space group is P2_1/c (14). For the calculated density, the calculation gives 9283 kg/m3. The uncorrected formation energy comes out at -15.4 eV per formula unit.

Geometry as Quantum ESPRESSO input:
```
&SYSTEM
  ibrav = 0, nat = 20, ntyp = 4
/
ATOMIC_SPECIES
O 16.00 O.upf
Pb 207.20 Pb.upf
Rh 102.91 Rh.upf
Ho 164.93 Ho.upf
CELL_PARAMETERS angstrom
5.780 0.000 -0.019
0.000 5.855 0.000
0.023 0.000 8.226
ATOMIC_POSITIONS crystal
O 0.407 0.972 0.735
Pb 0.008 0.961 0.248
O 0.593 0.028 0.265
O 0.815 0.783 0.954
O 0.093 0.472 0.765
Pb 0.492 0.461 0.252
O 0.907 0.528 0.235
O 0.278 0.693 0.050
O 0.222 0.193 0.450
Rh 0.000 0.500 0.000
Ho 0.000 0.500 0.500
O 0.315 0.717 0.454
O 0.185 0.217 0.046
Pb 0.992 0.039 0.752
O 0.778 0.807 0.550
Pb 0.508 0.539 0.748
Ho 0.500 0.000 0.000
Rh 0.500 0.000 0.500
O 0.722 0.307 0.950
O 0.685 0.283 0.546
```